[1]
LiScNi | PBE | relaxed

The calculation puts the density of states at the Fermi level at 1.232 states/eV/f.u. Its energy relative to the elements is 0.06 eV/atom. The mass density comes out at 3.33 Mg/m³. The value obtained for the total energy is -4.612 eV/atom. The distance to the lowest polymorph of the same formula comes out at 258 meV per atom.

The structure in CIF format:
```
data_LiScNi
_symmetry_space_group_name_H-M 'P 3 m 1'
_symmetry_Int_Tables_number 156
_symmetry_space_group_name_Hall 'P 3 -2"'
_cell_length_a 3.2448
_cell_length_b 3.2448
_cell_length_c 6.0563
_cell_angle_alpha 90.00
_cell_angle_beta 90.00
_cell_angle_gamma 120.00
loop_
_atom_site_label
_atom_site_type_symbol
_atom_site_fract_x
_atom_site_fract_y
_atom_site_fract_z
_atom_site_occupancy
Li1 Li 0.0000 0.0000 0.0000 1
Sc1 Sc 0.6667 0.3333 0.5605 1
Ni1 Ni 0.3333 0.6667 0.2895 1
```


[2]
LiScNi | PBE | relaxed

The calculation puts the density of states at the Fermi level at 1.539 states/eV/f.u. Its energy relative to the elements is -0.19 eV/atom. The mass density comes out at 3.83 Mg/m³. The value obtained for the total energy is -4.870 eV/atom. The distance to the lowest polymorph of the same formula comes out at 0 meV per atom.

The structure in CIF format:
```
data_LiScNi
_symmetry_space_group_name_H-M 'P 1 21/m 1'
_symmetry_Int_Tables_number 11
_symmetry_space_group_name_Hall '-P 2yb'
_cell_length_a 6.793
_cell_length_b 3.559
_cell_length_c 11.919
_cell_angle_alpha 90.00
_cell_angle_beta 91.38
_cell_angle_gamma 90.00
loop_
_atom_site_label
_atom_site_type_symbol
_atom_site_fract_x
_atom_site_fract_y
_atom_site_fract_z
_atom_site_occupancy
Li1 Li 0.011 0.250 0.081 1
Li2 Li 0.127 0.750 0.539 1
Li3 Li 0.381 0.250 0.202 1
Sc1 Sc 0.058 0.750 0.283 1
Sc2 Sc 0.345 0.250 0.915 1
Sc3 Sc 0.449 0.250 0.621 1
Ni1 Ni 0.237 0.750 0.750 1
Ni2 Ni 0.264 0.250 0.410 1
Ni3 Ni 0.267 0.750 0.072 1
```


[3]
LiScTc2Ni | PBE | relaxed

The calculation puts the density of states at the Fermi level at 5.507 states/eV/f.u. Its energy relative to the elements is 0.88 eV/atom. The mass density comes out at 5.31 Mg/m³. The value obtained for the total energy is -6.074 eV/atom.

The structure in CIF format:
```
data_LiScTc2Ni
_symmetry_space_group_name_H-M 'P 4/m m m'
_symmetry_Int_Tables_number 123
_symmetry_space_group_name_Hall '-P 4 2'
_cell_length_a 4.488
_cell_length_b 4.488
_cell_length_c 4.757
_cell_angle_alpha 90.00
_cell_angle_beta 90.00
_cell_angle_gamma 90.00
loop_
_atom_site_label
_atom_site_type_symbol
_atom_site_fract_x
_atom_site_fract_y
_atom_site_fract_z
_atom_site_occupancy
Li1 Li 0.000 0.000 0.000 1
Sc1 Sc 0.500 0.500 0.000 1
Tc1 Tc 0.000 0.500 0.500 1
Ni1 Ni 0.500 0.500 0.500 1
```


[4]
Li2ScNiTe | PBE | relaxed

The calculation puts the density of states at the Fermi level at 2.246 states/eV/f.u. As for the uncorrected formation energy: -1.26 eV/f.u. The mass density comes out at 4.13 Mg/m³. The value obtained for the total energy is -4.067 eV/atom. The distance to the lowest polymorph of the same formula comes out at 0 meV per atom.

The structure in CIF format:
```
data_Li2ScNiTe
_symmetry_space_group_name_H-M 'P 4/m m m'
_symmetry_Int_Tables_number 123
_symmetry_space_group_name_Hall '-P 4 2'
_cell_length_a 4.563
_cell_length_b 4.563
_cell_length_c 4.737
_cell_angle_alpha 90.00
_cell_angle_beta 90.00
_cell_angle_gamma 90.00
loop_
_atom_site_label
_atom_site_type_symbol
_atom_site_fract_x
_atom_site_fract_y
_atom_site_fract_z
_atom_site_occupancy
Li1 Li 0.000 0.500 0.000 1
Sc1 Sc 0.000 0.000 0.500 1
Ni1 Ni 0.000 0.000 0.000 1
Te1 Te 0.500 0.500 0.500 1
```


[5]
Li2ScNiTe | PBE | relaxed

The calculation puts the density of states at the Fermi level at 5.499 states/eV/f.u. As for the uncorrected formation energy: 0.94 eV/f.u. The mass density comes out at 3.67 Mg/m³. The value obtained for the total energy is -3.628 eV/atom. The distance to the lowest polymorph of the same formula comes out at 440 meV per atom.

The structure in CIF format:
```
data_Li2ScNiTe
_symmetry_space_group_name_H-M 'P 4/m m m'
_symmetry_Int_Tables_number 123
_symmetry_space_group_name_Hall '-P 4 2'
_cell_length_a 4.833
_cell_length_b 4.833
_cell_length_c 4.751
_cell_angle_alpha 90.00
_cell_angle_beta 90.00
_cell_angle_gamma 90.00
loop_
_atom_site_label
_atom_site_type_symbol
_atom_site_fract_x
_atom_site_fract_y
_atom_site_fract_z
_atom_site_occupancy
Li1 Li 0.000 0.500 0.000 1
Sc1 Sc 0.000 0.000 0.500 1
Ni1 Ni 0.500 0.500 0.500 1
Te1 Te 0.500 0.500 0.000 1
```


[6]
LiScTiNi | PBE | relaxed

The calculation puts the density of states at the Fermi level at 5.111 states/eV/f.u. Its energy relative to the elements is -0.05 eV/atom. The mass density comes out at 4.18 Mg/m³. The value obtained for the total energy is -5.531 eV/atom.

The structure in CIF format:
```
data_LiScTiNi
_symmetry_space_group_name_H-M 'F -4 3 m'
_symmetry_Int_Tables_number 216
_symmetry_space_group_name_Hall 'F -4 2 3'
_cell_length_a 6.314
_cell_length_b 6.314
_cell_length_c 6.314
_cell_angle_alpha 90.00
_cell_angle_beta 90.00
_cell_angle_gamma 90.00
loop_
_atom_site_label
_atom_site_type_symbol
_atom_site_fract_x
_atom_site_fract_y
_atom_site_fract_z
_atom_site_occupancy
Li1 Li 0.000 0.000 0.000 1
Sc1 Sc 0.250 0.250 0.250 1
Ti1 Ti 0.250 0.250 0.750 1
Ni1 Ni 0.000 0.000 0.500 1
```